First-principles (GGA+U) data for crystalline RbCrP2O at its relaxed geometry, as listed in Alexandria via LeMat-Bulk.

total energy: -0.3313 Ry/atom
mass density: 4.0 g/cm³

Lattice parameters (Å, degrees): 4.9419 4.9419 3.6626 90.00 90.00 90.00
Last column: nearest neighbours and their distance in Å.
Sites, in units of the cell vectors:
O: 0.0000 0.0000 0.5000  2 Cr 1.83
Rb: 0.5000 0.5000 0.5000  8 P 3.08
P: 0.5000 0.0000 0.0000  2 Cr 2.47
P: 0.0000 0.5000 0.0000  2 Cr 2.47
Cr: 0.0000 0.0000 0.0000  2 O 1.83